Below is a PBEsol-optimized structure of LaMnTe4, with properties calculated at the meta-GGA SCAN level.

It has space group F-43m (No. 216), with a = 8.8478 Å, b = 8.8478 Å, c = 8.8478 Å, α = 90.00°, β = 90.00° and γ = 90.00°. Symmetry generates all atoms from La at (0.0000, 0.0000, 0.0000), Mn at (0.2500, 0.2500, 0.7500) and Te at (0.1248, 0.1248, 0.3752).

The electronic total energy comes out at -2.577 Ry per atom. For the energy relative to the elements, uncorrected, the calculation gives 0.001 eV per atom.

=====

Below is a PBEsol-optimized structure of La3TiMn, with properties calculated at the meta-GGA SCAN level.

It has space group Pm-3m (No. 221), with a = 5.1990 Å, b = 5.1990 Å, c = 5.1990 Å, α = 90.00°, β = 90.00° and γ = 90.00°. Symmetry generates all atoms from La at (0.0000, 0.0000, 0.5000), Ti at (0.5000, 0.5000, 0.5000) and Mn at (0.0000, 0.0000, 0.0000).

The electronic total energy comes out at -2.371 Ry per atom. Its formation energy is 0.4585 eV/atom.

=====

Below is a PBEsol-optimized structure of LaMn2Tl, with properties calculated at the meta-GGA SCAN level.

It has space group P4/mmm (No. 123), with a = 3.4197 Å, b = 3.4197 Å, c = 7.0634 Å, α = 90.00°, β = 90.00° and γ = 90.00°. Symmetry generates all atoms from La at (0.0000, 0.0000, 0.0000), Mn at (0.5000, 0.5000, 0.2878) and Tl at (0.0000, 0.0000, 0.5000).

As for the polymorph energy (0 for the lowest one): 0.0000 eV per atom. The electronic total energy comes out at -2.788 Ry per atom. Its formation energy is 0.0553 eV/atom.

=====

Below is a PBEsol-optimized structure of LaMnTl3, with properties calculated at the meta-GGA SCAN level.

It has space group Pm-3m (No. 221), with a = 5.0528 Å, b = 5.0528 Å, c = 5.0528 Å, α = 90.00°, β = 90.00° and γ = 90.00°. Symmetry generates all atoms from La at (0.0000, 0.0000, 0.0000), Mn at (0.5000, 0.5000, 0.5000) and Tl at (0.0000, 0.5000, 0.5000).

The electronic total energy comes out at -4.104 Ry per atom. Its formation energy is -0.1514 eV/atom.

=====

Below is a PBEsol-optimized structure of LaMn2Tl, with properties calculated at the meta-GGA SCAN level.

It has space group Imm2 (No. 44), with a = 3.1899 Å, b = 4.8225 Å, c = 10.5996 Å, α = 90.00°, β = 90.00° and γ = 90.00°. Symmetry generates all atoms from La at (0.0000, 0.0000, 0.0000), Mn at (0.0000, 0.0000, 0.5048), Mn at (0.0000, 0.5000, 0.2067) and Tl at (0.0000, 0.5000, 0.7792).

As for the polymorph energy (0 for the lowest one): 0.0280 eV per atom. The electronic total energy comes out at -2.786 Ry per atom. Its formation energy is 0.0834 eV/atom.

=====

Below is a PBEsol-optimized structure of LaMnW3, with properties calculated at the meta-GGA SCAN level.

It has space group Pm-3m (No. 221), with a = 4.7468 Å, b = 4.7468 Å, c = 4.7468 Å, α = 90.00°, β = 90.00° and γ = 90.00°. Symmetry generates all atoms from La at (0.0000, 0.0000, 0.0000), Mn at (0.5000, 0.5000, 0.5000) and W at (0.0000, 0.0000, 0.5000).

The electronic total energy comes out at -3.753 Ry per atom. Its formation energy is 3.0218 eV/atom.

=====

Below is a PBEsol-optimized structure of La3MnW, with properties calculated at the meta-GGA SCAN level.

It has space group Pm-3m (No. 221), with a = 5.0668 Å, b = 5.0668 Å, c = 5.0668 Å, α = 90.00°, β = 90.00° and γ = 90.00°. Symmetry generates all atoms from La at (0.0000, 0.0000, 0.5000), Mn at (0.0000, 0.0000, 0.0000) and W at (0.5000, 0.5000, 0.5000).

The electronic total energy comes out at -3.122 Ry per atom. Its formation energy is 0.9792 eV/atom.

=====

Below is a PBEsol-optimized structure of LaMnW, with properties calculated at the meta-GGA SCAN level.

It has space group P3m1 (No. 156), with a = 3.0710 Å, b = 3.0710 Å, c = 6.9441 Å, α = 90.00°, β = 90.00° and γ = 120.00°. Symmetry generates all atoms from La at (0.0000, 0.0000, 0.0000), Mn at (0.3333, 0.6667, 0.6277) and W at (0.6667, 0.3333, 0.4024).

As for the polymorph energy (0 for the lowest one): 0.0000 eV per atom. The electronic total energy comes out at -3.153 Ry per atom. Its formation energy is 0.7874 eV/atom.

=====

Look up the electronic total energy of the fifth one. -2.786 Ry per atom